[1]
Material: SmHoHg2
Method: DFT, meta-GGA SCAN
State: single point on PBEsol structure

abc: 7.3609 7.3609 7.3609
angles: 90.00 90.00 90.00
Space group Fm-3m (No. 225)
Unique sites:
Sm1 0.0000 0.0000 0.0000
Ho1 0.0000 0.0000 0.5000
Hg1 0.2500 0.2500 0.2500

Spin magnetization = 0.00 μB/cell
Formation enthalpy at 0 K = -0.70 eV per atom

***

[2]
Material: HoTmHg2
Method: DFT, meta-GGA SCAN
State: single point on PBEsol structure

abc: 7.2472 7.2472 7.2472
angles: 90.00 90.00 90.00
Space group Fm-3m (No. 225)
Unique sites:
Ho1 0.0000 0.0000 0.0000
Tm1 0.0000 0.0000 0.5000
Hg1 0.2500 0.2500 0.2500

Spin magnetization = 0.00 μB/cell
Formation enthalpy at 0 K = -0.71 eV per atom

***

[3]
Material: Hg4I7
Method: DFT, meta-GGA SCAN
State: single point on PBEsol structure

abc: 9.2001 9.2001 6.1050
angles: 90.00 90.00 90.00
Space group P-4m2 (No. 115)
Unique sites:
Hg1 0.0000 0.2781 0.2619
I1 0.0000 0.0000 0.0000
I2 0.0000 0.5000 0.9408
I3 0.2618 0.2618 0.5000

Spin magnetization = 0.00 μB/cell
ΔE_f (raw) = -146 meV per atom

***

[4]
Material: InHg2I
Method: DFT, meta-GGA SCAN
State: single point on PBEsol structure

abc: 8.5546 8.5546 6.4564
angles: 90.00 90.00 90.00
Space group I-42d (No. 122)
Unique sites:
In1 0.0000 0.0000 0.0000
Hg1 0.2215 0.7500 0.1250
I1 0.0000 0.0000 0.5000

Spin magnetization = 0.00 μB/cell
Polymorph energy (0 for the lowest one) = 0 meV per atom
ΔE_f (raw) = -159 meV per atom

***

[5]
Material: InHgI2
Method: DFT, meta-GGA SCAN
State: single point on PBEsol structure

abc: 7.8810 7.8810 7.8810
angles: 90.00 90.00 90.00
Space group Fm-3m (No. 225)
Unique sites:
In1 0.0000 0.0000 0.0000
Hg1 0.0000 0.0000 0.5000
I1 0.2500 0.2500 0.2500

Spin magnetization = 0.00 μB/cell
ΔE_f (raw) = -138 meV per atom

***

[6]
Material: InHg2I
Method: DFT, meta-GGA SCAN
State: single point on PBEsol structure

abc: 7.7935 7.7935 7.7935
angles: 90.00 90.00 90.00
Space group Fm-3m (No. 225)
Unique sites:
In1 0.0000 0.0000 0.0000
Hg1 0.2500 0.2500 0.2500
I1 0.0000 0.0000 0.5000

Spin magnetization = 0.00 μB/cell
Polymorph energy (0 for the lowest one) = 112 meV per atom
ΔE_f (raw) = -47 meV per atom

***

[7]
Material: InHgI2N
Method: DFT, meta-GGA SCAN
State: single point on PBEsol structure

abc: 6.1107 6.1107 4.1255
angles: 90.00 90.00 90.00
Space group P4/mmm (No. 123)
Unique sites:
In1 0.0000 0.0000 0.0000
Hg1 0.5000 0.5000 0.5000
I1 0.0000 0.5000 0.5000
N1 0.5000 0.5000 0.0000

Spin magnetization = 1.99 μB/cell
ΔE_f (raw) = 559 meV per atom

***

[8]
Material: HgSb2IrI
Method: DFT, meta-GGA SCAN
State: single point on PBEsol structure

abc: 5.0778 5.0778 5.6675
angles: 90.00 90.00 90.00
Space group P4/mmm (No. 123)
Unique sites:
Hg1 0.0000 0.0000 0.0000
Sb1 0.0000 0.5000 0.5000
Ir1 0.5000 0.5000 0.5000
I1 0.5000 0.5000 0.0000

Spin magnetization = 0.00 μB/cell
ΔE_f (raw) = 394 meV per atom

***

[9]
Material: HgTe2IrI
Method: DFT, meta-GGA SCAN
State: single point on PBEsol structure

abc: 5.4466 5.4466 5.4964
angles: 90.00 90.00 90.00
Space group P4/mmm (No. 123)
Unique sites:
Hg1 0.0000 0.0000 0.0000
Te1 0.0000 0.5000 0.0000
Ir1 0.5000 0.5000 0.5000
I1 0.0000 0.0000 0.5000

Spin magnetization = 3.30 μB/cell
ΔE_f (raw) = 1607 meV per atom

***

[10]
Material: K2Hg2I
Method: DFT, meta-GGA SCAN
State: single point on PBEsol structure

abc: 4.1890 4.1890 19.8202
angles: 90.00 90.00 90.00
Space group I4/mmm (No. 139)
Unique sites:
K1 0.0000 0.0000 0.1031
Hg1 0.0000 0.5000 0.2500
I1 0.0000 0.0000 0.5000

Spin magnetization = 0.00 μB/cell
ΔE_f (raw) = -782 meV per atom

***

[11]
Material: KHgTe2I
Method: DFT, meta-GGA SCAN
State: single point on PBEsol structure

abc: 6.4570 6.4570 6.2800
angles: 90.00 90.00 90.00
Space group P4/mmm (No. 123)
Unique sites:
K1 0.0000 0.0000 0.0000
Hg1 0.5000 0.5000 0.5000
Te1 0.0000 0.5000 0.0000
I1 0.0000 0.0000 0.5000

Spin magnetization = 4.00 μB/cell
ΔE_f (raw) = 376 meV per atom

***

[12]
Material: LaHgI3
Method: DFT, meta-GGA SCAN
State: single point on PBEsol structure

abc: 6.1954 6.1954 6.1954
angles: 90.00 90.00 90.00
Space group Pm-3m (No. 221)
Unique sites:
La1 0.0000 0.0000 0.0000
Hg1 0.5000 0.5000 0.5000
I1 0.0000 0.0000 0.5000

Spin magnetization = 0.00 μB/cell
ΔE_f (raw) = -1214 meV per atom

***

[13]
Material: LaHgIO2
Method: DFT, meta-GGA SCAN
State: single point on PBEsol structure

abc: 4.4669 4.4669 5.3680
angles: 90.00 90.00 90.00
Space group P4/mmm (No. 123)
Unique sites:
La1 0.0000 0.0000 0.0000
Hg1 0.5000 0.5000 0.5000
I1 0.5000 0.5000 0.0000
O1 0.0000 0.5000 0.5000

Spin magnetization = 0.00 μB/cell
ΔE_f (raw) = -542 meV per atom

***

[14]
Material: LiHg2I
Method: DFT, meta-GGA SCAN
State: single point on PBEsol structure

abc: 9.0803 9.0803 5.6064
angles: 90.00 90.00 90.00
Space group I-42d (No. 122)
Unique sites:
Li1 0.0000 0.0000 0.0000
Hg1 0.2075 0.2500 0.1250
I1 0.0000 0.0000 0.5000

Spin magnetization = 0.00 μB/cell
ΔE_f (raw) = -463 meV per atom

***

[15]
Material: LiHgI2
Method: DFT, meta-GGA SCAN
State: single point on PBEsol structure

abc: 6.5995 6.5995 13.9687
angles: 90.00 90.00 90.00
Space group I-42d (No. 122)
Unique sites:
Li1 0.0000 0.0000 0.0000
Hg1 0.0000 0.0000 0.5000
I1 0.2096 0.2500 0.1250

Spin magnetization = 0.00 μB/cell
ΔE_f (raw) = -559 meV per atom

***

So what do the calculations give for VASP energy? Going down the list: -232.55; -239.98; -531.47; -207.10; -175.59; -206.65; -181.53; -248.56; -242.47; -193.64; -185.86; -227.57; -163.18; -177.31; -146.28 eV per formula unit.